1.
VASP calculation (PBE) on crystalline SmAs at its relaxed geometry.

Unit cell a=6.605 b=6.605 c=6.605 alpha=90.00 beta=90.00 gamma=90.00
Space group F-43m (No. 216)
Unique sites:
Sm (0.000, 0.000, 0.000)
As (0.250, 0.250, 0.250)

Computed properties:
- ρ (g cm⁻³) = 5.2
- total energy (eV per atom) = -5.6833
- total magnetic moment (μB per formula unit) = 0.0



2.
VASP calculation (PBE) on crystalline GaFeNiMo at its relaxed geometry.

Unit cell a=5.910 b=5.910 c=5.910 alpha=90.00 beta=90.00 gamma=90.00
Space group F-43m (No. 216)
Unique sites:
Ga (0.000, 0.000, 0.000)
Fe (0.250, 0.250, 0.250)
Ni (0.000, 0.000, 0.500)
Mo (0.250, 0.250, 0.750)

Computed properties:
- E above lowest polymorph (eV per atom) = 0.116
- ρ (g cm⁻³) = 9.0
- total energy (eV per atom) = -6.8611
- total magnetic moment (μB per formula unit) = 1.6



3.
VASP calculation (PBE) on crystalline Rb3ErBr6 at its relaxed geometry.

Unit cell a=8.069 b=8.560 c=13.943 alpha=90.00 beta=124.38 gamma=90.00
Space group P2_1/c (No. 14)
Unique sites:
Rb (0.000, 0.000, 0.000)
Rb (0.216, 0.075, 0.745)
Er (0.500, 0.000, 0.500)
Br (0.168, 0.177, 0.446)
Br (0.264, 0.729, 0.428)
Br (0.400, 0.049, 0.276)

Computed properties:
- E above lowest polymorph (eV per atom) = 0.000
- ρ (g cm⁻³) = 3.8
- total energy (eV per atom) = -3.5868
- total magnetic moment (μB per formula unit) = 0.0